{
  "formula": "CoRe2O4",
  "functional": "GGA+U",
  "state": "optimized geometry",
  "energy_ev_per_cell": -109.74,
  "magnetic_moment_mub_per_fu": 2.65,
  "lattice_angstrom": [[1.7420, -0.0318, -5.7671], [2.9906, -3.2888, 4.0663], [-5.5622, -1.6050, -1.6675]],
  "species": ["O", "O", "O", "O", "O", "O", "O", "O", "Re", "Re", "Re", "Re", "Co", "Co"],
  "fractional_positions": [[0.6226, 0.2450, 0.8676], [0.1274, 0.7450, 0.8724], [0.6224, 0.2450, 0.3774], [0.1276, 0.2550, 0.8726], [0.1274, 0.2550, 0.3824], [0.1324, 0.7550, 0.3774], [0.6226, 0.7550, 0.3776], [0.6176, 0.7450, 0.8726], [0.3750, 0.7500, 0.6250], [0.8750, 0.2500, 0.6250], [0.3750, 0.7500, 0.1250], [0.3750, 0.2500, 0.6250], [0.7500, 0.5000, 0.2500], [0.0000, 0.0000, 0.0000]]
}